## CsW3O9 (PBE+U)

Data for an optimized crystal structure of CsW3O9.

```
data_CsW3O9
_cell_length_a 7.5439
_cell_length_b 7.5439
_cell_length_c 3.8898
_cell_angle_alpha 90.00
_cell_angle_beta 90.00
_cell_angle_gamma 120.00
_symmetry_space_group_name_H-M 'P 1'
_symmetry_Int_Tables_number 1
loop_
_symmetry_equiv_pos_as_xyz
'x,y,z'
loop_
_atom_site_label
_atom_site_fract_x
_atom_site_fract_y
_atom_site_fract_z
Cs1 0.0000 0.0000 0.0000
W1 0.0000 0.5000 0.5000
W2 0.5000 0.5000 0.5000
W3 0.5000 0.0000 0.5000
O1 0.0000 0.5000 0.0000
O2 0.7888 0.2112 0.5000
O3 0.7888 0.5776 0.5000
O4 0.4224 0.2112 0.5000
O5 0.5000 0.5000 0.0000
O6 0.5776 0.7888 0.5000
O7 0.5000 0.0000 0.0000
O8 0.2112 0.4224 0.5000
O9 0.2112 0.7888 0.5000
```

Results
offset from the most stable computed form = 0 meV per atom